Entry 1:
VASP calculation (PBE) on crystalline YPdRu2C at its relaxed geometry.

Geometry as POSCAR:
```
YPdRu2C
1.0
-2.268 3.441 -0.623
-3.382 -1.970 1.432
0.911 1.319 3.968
Ru C Y Pd
2 1 1 1
Cartesian
-1.691 -0.985 0.716 Ru
-1.134 1.720 -0.312 Ru
0.000 0.000 0.000 C
-2.370 1.395 2.388 Y
0.455 0.660 1.984 Pd
```

The value obtained for the volume is 14.9 Å³/atom. As for the energy of formation: -199.3 meV/atom.



Entry 2:
VASP calculation (PBE) on crystalline Y2PdRuC at its relaxed geometry.

Geometry as POSCAR:
```
Y2PdRuC
1.0
-4.299 1.863 -1.640
-1.638 -4.594 -0.925
-1.450 -0.202 3.571
Pd Ru Y C
1 1 2 1
Cartesian
-3.693 -1.466 0.503 Pd
-0.725 -0.101 1.785 Ru
-0.819 -2.297 -0.463 Y
-2.149 0.932 -0.820 Y
0.000 0.000 0.000 C
```

The value obtained for the volume is 19.0 Å³/atom. As for the energy of formation: -514.7 meV/atom.